# 1
# Ir2AuBr

Ir2AuBr at its PBEsol-relaxed geometry (meta-GGA SCAN, Alexandria via LeMat-Bulk).

ΔE_f (raw)	5.51	eV/f.u.
energy above the most stable polymorph in this dataset	720	meV per atom

```
data_Ir2AuBr
_chemical_formula_sum 'Ir2 Au1 Br1'
_cell_length_a 4.231
_cell_length_b 4.231
_cell_length_c 3.592
_cell_angle_alpha 90.00
_cell_angle_beta 90.00
_cell_angle_gamma 90.00
_symmetry_space_group_name_H-M 'P 4/m m m'
_symmetry_Int_Tables_number 123
_symmetry_space_group_name_Hall '-P 4 2'
loop_
_atom_site_label
_atom_site_type_symbol
_atom_site_fract_x
_atom_site_fract_y
_atom_site_fract_z
Ir1 Ir 0.000 0.500 0.000
Au1 Au 0.000 0.000 0.500
Br1 Br 0.500 0.500 0.500
```



# 2
# FeNi3Cl

FeNi3Cl at its PBEsol-relaxed geometry (meta-GGA SCAN, Alexandria via LeMat-Bulk).

ΔE_f (raw)	3.93	eV/f.u.

```
data_FeNi3Cl
_chemical_formula_sum 'Fe1 Ni3 Cl1'
_cell_length_a 4.037
_cell_length_b 4.037
_cell_length_c 4.037
_cell_angle_alpha 90.00
_cell_angle_beta 90.00
_cell_angle_gamma 90.00
_symmetry_space_group_name_H-M 'P m -3 m'
_symmetry_Int_Tables_number 221
_symmetry_space_group_name_Hall '-P 4 2 3'
loop_
_atom_site_label
_atom_site_type_symbol
_atom_site_fract_x
_atom_site_fract_y
_atom_site_fract_z
Fe1 Fe 0.000 0.000 0.000
Ni1 Ni 0.000 0.500 0.500
Cl1 Cl 0.500 0.500 0.500
```



# 3
# GdSnAu

GdSnAu at its PBEsol-relaxed geometry (meta-GGA SCAN, Alexandria via LeMat-Bulk).

formation energy from the elements	-3.13	eV/f.u.

```
data_GdSnAu
_chemical_formula_sum 'Gd4 Sn4 Au4'
_cell_length_a 6.665
_cell_length_b 6.665
_cell_length_c 6.665
_cell_angle_alpha 90.00
_cell_angle_beta 90.00
_cell_angle_gamma 90.00
_symmetry_space_group_name_H-M 'F -4 3 m'
_symmetry_Int_Tables_number 216
_symmetry_space_group_name_Hall 'F -4 2 3'
loop_
_atom_site_label
_atom_site_type_symbol
_atom_site_fract_x
_atom_site_fract_y
_atom_site_fract_z
Gd1 Gd 0.000 0.000 0.000
Sn1 Sn 0.000 0.000 0.500
Au1 Au 0.250 0.250 0.250
```



# 4
# InReHg2

InReHg2 at its PBEsol-relaxed geometry (meta-GGA SCAN, Alexandria via LeMat-Bulk).

formation energy from the elements	3.12	eV/f.u.

```
data_InReHg2
_chemical_formula_sum 'In2 Re2 Hg4'
_cell_length_a 3.755
_cell_length_b 4.304
_cell_length_c 9.293
_cell_angle_alpha 90.00
_cell_angle_beta 90.00
_cell_angle_gamma 90.00
_symmetry_space_group_name_H-M 'I m m 2'
_symmetry_Int_Tables_number 44
loop_
_symmetry_equiv_pos_as_xyz
'x,y,z'
'-x,-y,z'
'-x,y,z'
'x,-y,z'
'x+1/2,y+1/2,z+1/2'
'-x+1/2,-y+1/2,z+1/2'
'-x+1/2,y+1/2,z+1/2'
'x+1/2,-y+1/2,z+1/2'
loop_
_atom_site_label
_atom_site_type_symbol
_atom_site_fract_x
_atom_site_fract_y
_atom_site_fract_z
In1 In 0.000 0.000 0.000
Re1 Re 0.000 0.500 0.738
Hg1 Hg 0.000 0.000 0.484
Hg2 Hg 0.000 0.500 0.242
```



# 5
# LiCa3

LiCa3 at its PBEsol-relaxed geometry (meta-GGA SCAN, Alexandria via LeMat-Bulk).

energy above the most stable polymorph in this dataset	46	meV per atom
formation energy from the elements	0.26	eV/f.u.

```
data_LiCa3
_chemical_formula_sum 'Li1 Ca3'
_cell_length_a 3.740
_cell_length_b 5.578
_cell_length_c 7.248
_cell_angle_alpha 90.00
_cell_angle_beta 104.00
_cell_angle_gamma 90.00
_symmetry_space_group_name_H-M 'P 1 2/m 1'
_symmetry_Int_Tables_number 10
loop_
_symmetry_equiv_pos_as_xyz
'x,y,z'
'-x,-y,-z'
'-x,y,-z'
'x,-y,z'
loop_
_atom_site_label
_atom_site_type_symbol
_atom_site_fract_x
_atom_site_fract_y
_atom_site_fract_z
Li1 Li 0.000 0.000 0.000
Ca1 Ca 0.000 0.000 0.500
Ca2 Ca 0.417 0.500 0.237
```



# 6
# Cs3LiCl4

Cs3LiCl4 at its PBEsol-relaxed geometry (meta-GGA SCAN, Alexandria via LeMat-Bulk).

ΔE_f (raw)	-16.88	eV/f.u.

```
data_Cs3LiCl4
_chemical_formula_sum 'Cs6 Li2 Cl8'
_cell_length_a 10.026
_cell_length_b 4.214
_cell_length_c 12.626
_cell_angle_alpha 90.00
_cell_angle_beta 90.00
_cell_angle_gamma 90.00
_symmetry_space_group_name_H-M 'A m m 2'
_symmetry_Int_Tables_number 38
loop_
_symmetry_equiv_pos_as_xyz
'x,y,z'
'-x,-y,z'
'-x,y,z'
'x,-y,z'
'x,y+1/2,z+1/2'
'-x,-y+1/2,z+1/2'
'-x,y+1/2,z+1/2'
'x,-y+1/2,z+1/2'
loop_
_atom_site_label
_atom_site_type_symbol
_atom_site_fract_x
_atom_site_fract_y
_atom_site_fract_z
Cs1 Cs 0.000 0.000 0.000
Cs2 Cs 0.268 0.000 0.228
Li1 Li 0.500 0.000 0.448
Cl1 Cl 0.000 0.000 0.731
Cl2 Cl 0.279 0.000 0.511
Cl3 Cl 0.500 0.000 0.838
```



# 7
# AlTlBi2F

AlTlBi2F at its PBEsol-relaxed geometry (meta-GGA SCAN, Alexandria via LeMat-Bulk).

ΔE_f (raw)	-3.61	eV/f.u.

```
data_AlTlBi2F
_chemical_formula_sum 'Al1 Tl1 Bi2 F1'
_cell_length_a 5.800
_cell_length_b 5.800
_cell_length_c 3.592
_cell_angle_alpha 90.00
_cell_angle_beta 90.00
_cell_angle_gamma 90.00
_symmetry_space_group_name_H-M 'P 4/m m m'
_symmetry_Int_Tables_number 123
_symmetry_space_group_name_Hall '-P 4 2'
loop_
_atom_site_label
_atom_site_type_symbol
_atom_site_fract_x
_atom_site_fract_y
_atom_site_fract_z
Al1 Al 0.000 0.000 0.000
Tl1 Tl 0.500 0.500 0.500
Bi1 Bi 0.000 0.500 0.000
F1 F 0.000 0.000 0.500
```



# 8
# Ir2RhBr

Ir2RhBr at its PBEsol-relaxed geometry (meta-GGA SCAN, Alexandria via LeMat-Bulk).

ΔE_f (raw)	2.73	eV/f.u.
energy above the most stable polymorph in this dataset	59	meV per atom

```
data_Ir2RhBr
_chemical_formula_sum 'Ir6 Rh3 Br3'
_cell_length_a 2.8389
_cell_length_b 2.8389
_cell_length_c 25.9025
_cell_angle_alpha 90.00
_cell_angle_beta 90.00
_cell_angle_gamma 120.00
_symmetry_space_group_name_H-M 'R 3 m'
_symmetry_Int_Tables_number 160
_symmetry_space_group_name_Hall 'R 3 -2"'
loop_
_atom_site_label
_atom_site_type_symbol
_atom_site_fract_x
_atom_site_fract_y
_atom_site_fract_z
Ir1 Ir 0.0000 0.0000 0.0000
Ir2 Ir 0.0000 0.0000 0.2520
Rh1 Rh 0.0000 0.0000 0.5040
Br1 Br 0.0000 0.0000 0.7554
```



# 9
# SrCuAg2

SrCuAg2 at its PBEsol-relaxed geometry (meta-GGA SCAN, Alexandria via LeMat-Bulk).

formation energy from the elements	-0.45	eV/f.u.

```
data_SrCuAg2
_chemical_formula_sum 'Sr3 Cu3 Ag6'
_cell_length_a 4.4500
_cell_length_b 4.4500
_cell_length_c 15.7917
_cell_angle_alpha 90.00
_cell_angle_beta 90.00
_cell_angle_gamma 120.00
_symmetry_space_group_name_H-M 'R -3 m'
_symmetry_Int_Tables_number 166
_symmetry_space_group_name_Hall '-R 3 2"'
loop_
_atom_site_label
_atom_site_type_symbol
_atom_site_fract_x
_atom_site_fract_y
_atom_site_fract_z
Sr1 Sr 0.0000 0.0000 0.0000
Cu1 Cu 0.0000 0.0000 0.5000
Ag1 Ag 0.0000 0.0000 0.2010
```



# 10
# CaMg2Ta

CaMg2Ta at its PBEsol-relaxed geometry (meta-GGA SCAN, Alexandria via LeMat-Bulk).

formation energy from the elements	2.53	eV/f.u.

```
data_CaMg2Ta
_chemical_formula_sum 'Ca2 Mg4 Ta2'
_cell_length_a 4.441
_cell_length_b 4.441
_cell_length_c 9.177
_cell_angle_alpha 90.00
_cell_angle_beta 90.00
_cell_angle_gamma 90.00
_symmetry_space_group_name_H-M 'I -4 m 2'
_symmetry_Int_Tables_number 119
_symmetry_space_group_name_Hall 'I -4 -2'
loop_
_atom_site_label
_atom_site_type_symbol
_atom_site_fract_x
_atom_site_fract_y
_atom_site_fract_z
Ca1 Ca 0.000 0.000 0.000
Mg1 Mg 0.000 0.000 0.500
Mg2 Mg 0.000 0.500 0.250
Ta1 Ta 0.000 0.500 0.750
```



# 11
# Sr2LaAu2

Sr2LaAu2 at its PBEsol-relaxed geometry (meta-GGA SCAN, Alexandria via LeMat-Bulk).

formation energy from the elements	-3.85	eV/f.u.

```
data_Sr2LaAu2
_chemical_formula_sum 'Sr4 La2 Au4'
_cell_length_a 8.030
_cell_length_b 8.030
_cell_length_c 4.630
_cell_angle_alpha 90.00
_cell_angle_beta 90.00
_cell_angle_gamma 90.00
_symmetry_space_group_name_H-M 'P 4/m b m'
_symmetry_Int_Tables_number 127
_symmetry_space_group_name_Hall '-P 4 2ab'
loop_
_atom_site_label
_atom_site_type_symbol
_atom_site_fract_x
_atom_site_fract_y
_atom_site_fract_z
Sr1 Sr 0.164 0.336 0.000
La1 La 0.000 0.000 0.500
Au1 Au 0.132 0.632 0.500
```



# 12
# CuRh3

CuRh3 at its PBEsol-relaxed geometry (meta-GGA SCAN, Alexandria via LeMat-Bulk).

formation energy from the elements	0.32	eV/f.u.

```
data_CuRh3
_chemical_formula_sum 'Cu1 Rh3'
_cell_length_a 2.6602
_cell_length_b 2.6602
_cell_length_c 8.5651
_cell_angle_alpha 90.00
_cell_angle_beta 90.00
_cell_angle_gamma 120.00
_symmetry_space_group_name_H-M 'P -6 m 2'
_symmetry_Int_Tables_number 187
_symmetry_space_group_name_Hall 'P -6 2'
loop_
_atom_site_label
_atom_site_type_symbol
_atom_site_fract_x
_atom_site_fract_y
_atom_site_fract_z
Cu1 Cu 0.0000 0.0000 0.0000
Rh1 Rh 0.0000 0.0000 0.5000
Rh2 Rh 0.6667 0.3333 0.2466
```